# 1
A plane-wave DFT calculation with PBE-GGA was carried out for an optimized crystal structure of FeRe2Hg.

Results
Calculated formation energy   792 meV per atom
ΔE to the lowest computed polymorph   421 meV/atom
SG   No. 65

Cell lengths 4.885, 4.885, 2.829 Å; angles 90.00, 90.00, 113.45 degrees
Each line ends with the local moment (μB).
Fractional coordinates of all 4 atoms:
Fe  0.500  0.000  0.500  2.38
Hg  0.000  0.500  0.500  0.00
Re  0.000  0.000  0.000  -0.15
Re  0.500  0.500  0.000  -0.15


# 2
A plane-wave DFT calculation with PBE-GGA was carried out for an optimized crystal structure of BaTl2Sb.

Results
ΔE to the lowest computed polymorph   93 meV/atom
SG   No. 71
Formation energy without anion corrections   -0.398 eV/atom

Cell lengths 6.694, 6.694, 6.694 Å; angles 142.44, 129.63, 64.50 degrees
Fractional coordinates of all 4 atoms:
Ba  0.750  0.250  0.500
Sb  0.250  0.750  0.500
Tl  0.029  0.029  0.000
Tl  0.471  0.471  0.000